Below is an optimized crystal structure of K2Ta3TcO12, with properties calculated at the PBE level. Values from VASP.

Calculated values
Calculated volume   16.0 Å³ per atom
Space group   R-3m
Uncorrected formation energy   -53.83 kcal/mol of atoms

```
&SYSTEM
  ibrav = 0, nat = 18, ntyp = 4
/
ATOMIC_SPECIES
K 39.10 K.upf
Ta 180.95 Ta.upf
Tc 98.00 Tc.upf
O 16.00 O.upf
CELL_PARAMETERS angstrom
3.7181 2.1466 6.0283
-3.7181 2.1466 6.0283
0.0000 -4.2932 6.0283
ATOMIC_POSITIONS angstrom
K 0.0000 0.0000 1.9232
K 0.0000 0.0000 16.1617
Ta -1.8590 -1.0733 6.0283
Ta -1.8590 1.0733 12.0566
Ta 0.0000 2.1466 6.0283
Tc 0.0000 0.0000 9.0424
O 0.0000 -1.6277 5.6368
O -1.4096 0.8138 5.6368
O -1.3273 -0.7663 7.9412
O -1.4096 -0.8138 12.4481
O 0.0000 -1.5327 10.1437
O -1.3273 0.7663 10.1437
O 1.3273 -0.7663 7.9412
O 0.0000 1.5327 7.9412
O 1.4096 0.8138 5.6368
O 1.3273 0.7663 10.1437
O 1.4096 -0.8138 12.4481
O 0.0000 1.6277 12.4481
```